# 1
Here is crystalline RbF5 at its relaxed geometry from Alexandria. Energies are from PBE.

Output
- formation energy without anion corrections (meV/atom) = -956
- crystal system = triclinic

Lattice parameters (Å, degrees): 4.341 4.356 10.500 98.33 98.09 93.73
Space group P-1 (No. 2)
Inequivalent atoms, fractional coordinates:
Rb: 0.065 0.433 0.250 [2 per cell]
F: 0.112 0.027 0.573 [2 per cell]
F: 0.130 0.909 0.023 [2 per cell]
F: 0.405 0.096 0.750 [2 per cell]
F: 0.409 0.631 0.523 [2 per cell]
F: 0.473 0.388 0.927 [2 per cell]



# 2
Here is crystalline Rb2F3 at its relaxed geometry from Alexandria. Energies are from PBE.

Output
- formation energy without anion corrections (meV/atom) = -2152
- crystal system = orthorhombic

Lattice parameters (Å, degrees): 7.346 7.893 7.280 90.00 90.00 90.00
Space group Cmc2_1 (No. 36)
Inequivalent atoms, fractional coordinates:
Rb: 0.246 0.127 0.000 [8 per cell]
F: 0.000 0.110 0.681 [4 per cell]
F: 0.000 0.317 0.223 [4 per cell]
F: 0.000 0.405 0.785 [4 per cell]



# 3
Here is crystalline Rb5F6 at its relaxed geometry from Alexandria. Energies are from PBE.

Output
- formation energy without anion corrections (meV/atom) = -2415
- crystal system = monoclinic

Lattice parameters (Å, degrees): 7.107 12.292 6.995 90.00 109.30 90.00
Space group C2/m (No. 12)
Inequivalent atoms, fractional coordinates:
Rb: 0.000 0.000 0.000 [2 per cell]
Rb: 0.000 0.169 0.500 [4 per cell]
Rb: 0.000 0.345 0.000 [4 per cell]
F: 0.228 0.181 0.230 [8 per cell]
F: 0.229 0.000 0.759 [4 per cell]



# 4
Here is crystalline Rb3F at its relaxed geometry from Alexandria. Energies are from PBE.

Output
- formation energy without anion corrections (meV/atom) = -1180
- distance to the lowest polymorph of the same formula (meV per atom) = 40
- crystal system = orthorhombic

Lattice parameters (Å, degrees): 3.977 4.337 12.064 90.00 90.00 90.00
Space group Pmm2 (No. 25)
Inequivalent atoms, fractional coordinates:
Rb: 0.000 0.000 0.000 [1 per cell]
Rb: 0.000 0.500 0.265 [1 per cell]
Rb: 0.500 0.500 0.646 [1 per cell]
F: 0.500 0.000 0.172 [1 per cell]



# 5
Here is crystalline RbF at its relaxed geometry from Alexandria. Energies are from PBE.

Output
- formation energy without anion corrections (meV/atom) = -2637
- crystal system = orthorhombic

Lattice parameters (Å, degrees): 4.804 8.325 5.659 90.00 90.00 90.00
Space group Cmcm (No. 63)
Inequivalent atoms, fractional coordinates:
Rb: 0.000 0.167 0.250 [4 per cell]
F: 0.000 0.166 0.750 [4 per cell]



# 6
Here is crystalline RbF at its relaxed geometry from Alexandria. Energies are from PBE.

Output
- formation energy without anion corrections (meV/atom) = -2667
- crystal system = cubic

Lattice parameters (Å, degrees): 5.729 5.729 5.729 90.00 90.00 90.00
Space group Fm-3m (No. 225)
Inequivalent atoms, fractional coordinates:
Rb: 0.000 0.000 0.000 [4 per cell]
F: 0.000 0.000 0.500 [4 per cell]



# 7
Here is crystalline Rb3ReF8 at its relaxed geometry from Alexandria. Energies are from PBE.

Output
- formation energy without anion corrections (meV/atom) = -2522
- crystal system = hexagonal

Lattice parameters (Å, degrees): 8.4152 8.4152 7.2301 90.00 90.00 120.00
Space group P6_3mc (No. 186)
Inequivalent atoms, fractional coordinates:
Rb: 0.1556 0.3111 0.0000 [6 per cell]
Re: 0.3333 0.6667 0.4448 [2 per cell]
F: 0.0000 0.0000 0.2562 [2 per cell]
F: 0.0727 0.5363 0.3640 [6 per cell]
F: 0.2280 0.4560 0.6138 [6 per cell]
F: 0.3333 0.6667 0.1688 [2 per cell]



# 8
Here is crystalline Rb2ReF7 at its relaxed geometry from Alexandria. Energies are from PBE.

Output
- formation energy without anion corrections (meV/atom) = -2227
- distance to the lowest polymorph of the same formula (meV per atom) = 254
- crystal system = cubic

Lattice parameters (Å, degrees): 9.324 9.324 9.324 90.00 90.00 90.00
Space group Fm-3m (No. 225)
Inequivalent atoms, fractional coordinates:
Rb: 0.250 0.250 0.250 [8 per cell]
Re: 0.000 0.000 0.000 [4 per cell]
F: 0.000 0.000 0.208 [24 per cell]
F: 0.000 0.000 0.500 [4 per cell]



# 9
Here is crystalline RbReF2 at its relaxed geometry from Alexandria. Energies are from PBE.

Output
- formation energy without anion corrections (meV/atom) = -441
- distance to the lowest polymorph of the same formula (meV per atom) = 678
- crystal system = tetragonal

Lattice parameters (Å, degrees): 5.146 5.146 14.215 90.00 90.00 90.00
Space group I-42d (No. 122)
Inequivalent atoms, fractional coordinates:
Rb: 0.000 0.000 0.000 [4 per cell]
Re: 0.000 0.000 0.500 [4 per cell]
F: 0.105 0.250 0.625 [8 per cell]



# 10
Here is crystalline RbReF2 at its relaxed geometry from Alexandria. Energies are from PBE.

Output
- formation energy without anion corrections (meV/atom) = -200
- distance to the lowest polymorph of the same formula (meV per atom) = 918
- crystal system = cubic

Lattice parameters (Å, degrees): 6.869 6.869 6.869 90.00 90.00 90.00
Space group Fm-3m (No. 225)
Inequivalent atoms, fractional coordinates:
Rb: 0.000 0.000 0.000 [4 per cell]
Re: 0.000 0.000 0.500 [4 per cell]
F: 0.250 0.250 0.250 [8 per cell]



# 11
Here is crystalline RbReF2 at its relaxed geometry from Alexandria. Energies are from PBE.

Output
- formation energy without anion corrections (meV/atom) = -1118
- distance to the lowest polymorph of the same formula (meV per atom) = 0
- crystal system = trigonal

Lattice parameters (Å, degrees): 2.9983 2.9983 23.9447 90.00 90.00 120.00
Space group R-3m (No. 166, hexagonal axes)
Inequivalent atoms, fractional coordinates:
Rb: 0.0000 0.0000 0.0000 [3 per cell]
Re: 0.0000 0.0000 0.5000 [3 per cell]
F: 0.0000 0.0000 0.4147 [6 per cell]



# 12
Here is crystalline Rb3ReF7 at its relaxed geometry from Alexandria. Energies are from PBE.

Output
- formation energy without anion corrections (meV/atom) = -2392
- crystal system = monoclinic

Lattice parameters (Å, degrees): 8.842 8.698 7.023 90.00 124.51 90.00
Space group Cm (No. 8)
Inequivalent atoms, fractional coordinates:
Rb: 0.000 0.000 0.000 [2 per cell]
Rb: 0.493 0.235 0.485 [4 per cell]
Re: 0.036 0.500 0.016 [2 per cell]
F: 0.114 0.294 0.197 [4 per cell]
F: 0.132 0.500 0.806 [2 per cell]
F: 0.316 0.500 0.237 [2 per cell]
F: 0.360 0.153 0.775 [4 per cell]
F: 0.372 0.000 0.136 [2 per cell]



| no. | M_tot (Bohr magnetons per cell) |
| --- | --- |
| 1 | 0.03 |
| 2 | 4.02 |
| 3 | 2.37 |
| 4 | 0.00 |
| 5 | 0.32 |
| 6 | 0.34 |
| 7 | 4.00 |
| 8 | 8.00 |
| 9 | 16.54 |
| 10 | 24.00 |
| 11 | 0.00 |
| 12 | 2.00 |